Entry from the Alexandria database: crystalline NdGeIrO at its relaxed geometry (PBE-GGA).

a b c (Å): 4.128 4.128 8.460
angles (deg): 90.00 90.00 90.00
Element x y z (fractional)
Nd (0.500, 0.000, 0.635)
Nd (0.000, 0.500, 0.365)
Ge (0.000, 0.500, 0.839)
Ge (0.500, 0.000, 0.161)
Ir (0.500, 0.500, 0.000)
Ir (0.000, 0.000, 0.000)
O (0.000, 0.000, 0.500)
O (0.500, 0.500, 0.500)

Space group: P4/nmm
Formation energy from raw total energies: -1.77 eV/atom

Entry from the Alexandria database: crystalline NdGePIr2 at its relaxed geometry (PBE-GGA).

a b c (Å): 4.176 6.447 7.405
angles (deg): 90.00 90.00 108.90
Element x y z (fractional)
Nd (0.434, 0.869, 0.750)
Nd (0.566, 0.131, 0.250)
Ge (0.722, 0.444, 0.750)
Ge (0.278, 0.556, 0.250)
P (0.000, 0.000, 0.000)
P (0.000, 0.000, 0.500)
Ir (0.178, 0.356, 0.945)
Ir (0.822, 0.644, 0.055)
Ir (0.178, 0.356, 0.555)
Ir (0.822, 0.644, 0.445)

Space group: Cmcm
Formation energy from the elements: -65.4 kJ/mol of atoms

Entry from the Alexandria database: crystalline Nd2GeP3Ir4 at its relaxed geometry (PBE-GGA).

a b c (Å): 4.167 4.167 9.910
angles (deg): 90.00 90.00 90.00
Element x y z (fractional)
Nd (0.500, 0.000, 0.252)
Nd (0.000, 0.500, 0.748)
Ge (0.500, 0.500, 0.500)
P (0.000, 0.000, 0.500)
P (0.500, 0.000, 0.863)
P (0.000, 0.500, 0.137)
Ir (0.500, 0.500, 0.000)
Ir (0.000, 0.000, 0.000)
Ir (0.500, 0.000, 0.627)
Ir (0.000, 0.500, 0.373)

Space group: P-4m2
Formation energy from the elements: -87.4 kJ/mol of atoms

Entry from the Alexandria database: crystalline Nd2Ge4IrPd3 at its relaxed geometry (PBE-GGA).

a b c (Å): 4.297 4.297 10.348
angles (deg): 90.00 90.00 90.00
Element x y z (fractional)
Nd (0.500, 0.000, 0.247)
Nd (0.000, 0.500, 0.753)
Ge (0.500, 0.500, 0.000)
Ge (0.000, 0.000, 0.000)
Ge (0.500, 0.000, 0.629)
Ge (0.000, 0.500, 0.371)
Ir (0.500, 0.500, 0.500)
Pd (0.000, 0.000, 0.500)
Pd (0.500, 0.000, 0.868)
Pd (0.000, 0.500, 0.132)

Space group: P-4m2
Formation energy from the elements: -76.1 kJ/mol of atoms